--- P ---
{"formula": "SrPmCu", "functional": "GGA-PBE", "state": "relaxed", "m_tot_mub_per_fu": 0.00, "cell": [[-1.8551, 1.8551, 6.7308], [1.8551, -1.8551, 6.7308], [1.8551, 1.8551, -6.7308]], "species": ["Sr", "Pm", "Cu"], "frac_coords": [[0.0000, 0.0000, 0.0000], [0.2638, 0.2638, 0.0000], [0.6564, 0.6564, 0.0000]]}

***

--- Q ---
{"formula": "SrPmCu", "functional": "GGA-PBE", "state": "relaxed", "m_tot_mub_per_fu": 0.00, "cell": [[0.0000, 6.9131, 4.6009], [6.2226, 0.0000, 4.6009], [6.2226, 6.9131, 0.0000]], "species": ["Sr", "Sr", "Sr", "Sr", "Pm", "Pm", "Pm", "Pm", "Cu", "Cu", "Cu", "Cu"], "frac_coords": [[0.0203, 0.4797, 0.2179], [0.0321, 0.9679, 0.2297], [0.4797, 0.0203, 0.2821], [0.9679, 0.0321, 0.7703], [0.3052, 0.5166, 0.4419], [0.5137, 0.8081, 0.7334], [0.5166, 0.3052, 0.7363], [0.8081, 0.5137, 0.9448], [0.2316, 0.6368, 0.7349], [0.5151, 0.8533, 0.0184], [0.6368, 0.2316, 0.3967], [0.8533, 0.5151, 0.6132]]}

***

Short version: P is the most stable of them.

***

--- P ---
{"formula": "TbPm2Cu3", "functional": "GGA-PBE", "state": "relaxed", "m_tot_mub_per_fu": 0.00, "cell": [[3.5262, 0.0000, 0.0000], [0.0000, 3.5262, 0.0000], [0.0000, 0.0000, 10.6711]], "species": ["Tb", "Pm", "Pm", "Cu", "Cu", "Cu"], "frac_coords": [[0.0000, 0.0000, 0.0000], [0.0000, 0.0000, 0.3307], [0.0000, 0.0000, 0.6693], [0.5000, 0.5000, 0.1576], [0.5000, 0.5000, 0.5000], [0.5000, 0.5000, 0.8424]]}

***

--- Q ---
{"formula": "TbPm2Cu3", "functional": "GGA-PBE", "state": "relaxed", "m_tot_mub_per_fu": 0.00, "cell": [[5.0141, 0.0000, 0.0000], [-2.5071, 4.3424, 0.0000], [0.0000, 0.0000, 6.1168]], "species": ["Tb", "Pm", "Pm", "Cu", "Cu", "Cu"], "frac_coords": [[0.0000, 0.0000, 0.0000], [0.3333, 0.6667, 0.6695], [0.6667, 0.3333, 0.3305], [0.0000, 0.0000, 0.5000], [0.3333, 0.6667, 0.1592], [0.6667, 0.3333, 0.8408]]}

***

Short version: P is the most stable of them.

***

--- P ---
{"formula": "Pm2CuTc", "functional": "GGA-PBE", "state": "relaxed", "m_tot_mub_per_fu": 0.00, "cell": [[3.5198, 0.0000, 0.0000], [0.0000, 3.5198, 0.0000], [0.0000, 0.0000, 7.2040]], "species": ["Pm", "Pm", "Cu", "Tc"], "frac_coords": [[0.0000, 0.0000, 0.2366], [0.0000, 0.0000, 0.7634], [0.5000, 0.5000, 0.5000], [0.5000, 0.5000, 0.0000]]}

***

--- Q ---
{"formula": "Pm2CuTc", "functional": "GGA-PBE", "state": "relaxed", "m_tot_mub_per_fu": 0.00, "cell": [[0.0000, 3.5320, 3.5320], [3.5320, 0.0000, 3.5320], [3.5320, 3.5320, 0.0000]], "species": ["Pm", "Pm", "Cu", "Tc"], "frac_coords": [[0.2500, 0.2500, 0.2500], [0.7500, 0.7500, 0.7500], [0.0000, 0.0000, 0.0000], [0.5000, 0.5000, 0.5000]]}

***

Short version: P is the most stable of them.

***

--- P ---
{"formula": "Pm2CuTe", "functional": "GGA-PBE", "state": "relaxed", "m_tot_mub_per_fu": 0.00, "cell": [[2.1129, 1.2199, 7.4219], [-2.1129, 1.2199, 7.4219], [0.0000, -2.4397, 7.4219]], "species": ["Pm", "Pm", "Cu", "Te"], "frac_coords": [[0.2426, 0.2426, 0.2426], [0.7574, 0.7574, 0.7574], [0.5000, 0.5000, 0.5000], [0.0000, 0.0000, 0.0000]]}

***

--- Q ---
{"formula": "Pm2CuTe", "functional": "GGA-PBE", "state": "relaxed", "m_tot_mub_per_fu": 0.00, "cell": [[2.0830, -11.6590, 0.0000], [2.0830, 11.6590, 0.0000], [0.0000, 0.0000, 4.5565]], "species": ["Pm", "Pm", "Pm", "Pm", "Cu", "Cu", "Te", "Te"], "frac_coords": [[0.0587, 0.9413, 0.7500], [0.3337, 0.6663, 0.7500], [0.6663, 0.3337, 0.2500], [0.9413, 0.0587, 0.2500], [0.4676, 0.5324, 0.7500], [0.5324, 0.4676, 0.2500], [0.1946, 0.8054, 0.7500], [0.8054, 0.1946, 0.2500]]}

***

--- R ---
{"formula": "Pm2CuTe", "functional": "GGA-PBE", "state": "relaxed", "m_tot_mub_per_fu": 0.48, "cell": [[0.0000, 3.7228, 3.7228], [3.7228, 0.0000, 3.7228], [3.7228, 3.7228, 0.0000]], "species": ["Pm", "Pm", "Cu", "Te"], "frac_coords": [[0.2500, 0.2500, 0.2500], [0.7500, 0.7500, 0.7500], [0.0000, 0.0000, 0.0000], [0.5000, 0.5000, 0.5000]]}

***

Short version: Q is the most stable of them.